--- P ---
Material: AlTl2Ga2
Method: DFT, PBE
State: optimized geometry

The structure in extended XYZ format:
```
10
Lattice="6.8291 0.0000 0.0000 0.0000 6.8291 0.0000 0.0000 0.0000 5.2324" Properties=species:S:1:pos:R:3 pbc="T T T"
Al 0.0000 0.0000 0.0000
Al 3.4145 3.4145 0.0000
Tl 1.2161 2.1984 2.6162
Tl 2.1984 5.6129 2.6162
Tl 4.6307 1.2161 2.6162
Tl 5.6129 4.6307 2.6162
Ga 0.9262 4.3408 0.0000
Ga 2.4883 0.9262 0.0000
Ga 4.3408 5.9028 0.0000
Ga 5.9028 2.4883 0.0000
```

Calculated values
Total magnetic moment, μB per cell: 0.00
Calculated volume, A^3/atom: 24.402
Density of states at the Fermi level, states/eV/cell: 4.6



--- Q ---
Material: AlTl2Ga2
Method: DFT, PBE
State: optimized geometry

The structure in extended XYZ format:
```
5
Lattice="-1.8615 1.8615 9.0084 1.8615 -1.8615 9.0084 1.8615 1.8615 -9.0084" Properties=species:S:1:pos:R:3 pbc="T T T"
Al 0.0000 0.0000 0.0000
Tl 0.0000 0.0000 7.2012
Tl 0.0000 0.0000 10.8157
Ga 1.8615 0.0000 4.5042
Ga 0.0000 1.8615 4.5042
```

Calculated values
Total magnetic moment, μB per cell: 0.00
Calculated volume, A^3/atom: 24.973
Density of states at the Fermi level, states/eV/cell: 2.1



Stability check: which of them is least stable? Q.



--- P ---
Material: AlTlGa2
Method: DFT, PBE
State: optimized geometry

The structure in extended XYZ format:
```
4
Lattice="0.0000 3.5313 3.5313 3.5313 0.0000 3.5313 3.5313 3.5313 0.0000" Properties=species:S:1:pos:R:3 pbc="T T T"
Al 0.0000 0.0000 0.0000
Tl 3.5313 3.5313 3.5313
Ga 1.7656 1.7656 1.7656
Ga 5.2969 5.2969 5.2969
```

Calculated values
Total magnetic moment, μB per cell: 0.00
Calculated volume, A^3/atom: 22.018
Density of states at the Fermi level, states/eV/cell: 1.0



--- Q ---
Material: AlTlGa2
Method: DFT, PBE
State: optimized geometry

The structure in extended XYZ format:
```
4
Lattice="2.2043 1.2726 5.5973 -2.2043 1.2726 5.5973 0.0000 -2.5453 5.5973" Properties=species:S:1:pos:R:3 pbc="T T T"
Al 0.0000 0.0000 0.0000
Tl 0.0000 0.0000 3.0681
Ga 0.0000 0.0000 6.7238
Ga 0.0000 0.0000 10.4712
```

Calculated values
Total magnetic moment, μB per cell: 0.00
Calculated volume, A^3/atom: 23.553
Density of states at the Fermi level, states/eV/cell: 1.6



--- R ---
Material: AlTlGa2
Method: DFT, PBE
State: optimized geometry

The structure in extended XYZ format:
```
4
Lattice="3.1895 0.0000 0.0000 0.0000 3.1895 0.0000 0.0000 0.0000 8.5218" Properties=species:S:1:pos:R:3 pbc="T T T"
Al 0.0000 0.0000 0.0000
Tl 0.0000 0.0000 4.2609
Ga 1.5947 1.5947 1.7161
Ga 1.5947 1.5947 6.8057
```

Calculated values
Total magnetic moment, μB per cell: 0.00
Calculated volume, A^3/atom: 21.672
Density of states at the Fermi level, states/eV/cell: 1.2



--- S ---
Material: AlTlGa2
Method: DFT, PBE
State: optimized geometry

The structure in extended XYZ format:
```
4
Lattice="5.2200 0.0000 0.0000 0.0000 5.2200 0.0000 0.0000 0.0000 3.1893" Properties=species:S:1:pos:R:3 pbc="T T T"
Al 0.0000 0.0000 0.0000
Tl 2.6100 2.6100 0.0000
Ga 0.0000 2.6100 1.5947
Ga 2.6100 0.0000 1.5947
```

Calculated values
Total magnetic moment, μB per cell: 0.00
Calculated volume, A^3/atom: 21.726
Density of states at the Fermi level, states/eV/cell: 1.8



Stability check: which of them is least stable? P.